Computed, not measured: a geometry-optimized Nb3CuI structure at the PBE level of DFT.

Geometry as POSCAR:
```
Nb3CuI
1.0
-2.924 -4.072 -0.022
2.189 -1.594 4.219
-3.434 2.451 2.708
Cu Nb I
1 3 1
Cartesian
-2.084 -1.608 3.452
-1.462 -2.036 -0.011
-1.717 1.225 1.354
1.094 -0.797 2.109
0.000 0.000 0.000
```

Its polymorph energy (0 for the lowest one) is 704 meV/atom. Its uncorrected formation energy is 1.928 eV/atom.

=====

Computed, not measured: a geometry-optimized NbCuI3 structure at the PBE level of DFT.

Geometry as POSCAR:
```
NbCuI3
1.0
5.679 0.000 0.000
0.000 5.679 0.000
0.000 0.000 5.679
I Cu Nb
3 1 1
Cartesian
0.000 2.839 0.000
0.000 0.000 2.839
2.839 0.000 0.000
2.839 2.839 2.839
0.000 0.000 0.000
```

Its polymorph energy (0 for the lowest one) is 0 meV/atom. Its uncorrected formation energy is 0.483 eV/atom.